Compound: MgTcP2
Source: Alexandria
Functional: GGA-PBE
Structure: optimized geometry

abc: 5.4894 6.6686 3.1204
angles: 90.00 91.51 90.00
Last column: nearest neighbours and their distance in Å.
Space group C2/m (No. 12)
Asymmetric unit:
Mg 0.0000 0.0000 0.0000 (multiplicity 2)  8 P 2.64-2.69, 2 Tc 2.74
Tc 0.0000 0.5000 0.0000 (multiplicity 2)  8 P 2.64-2.69, 2 Mg 2.74
P 0.2500 0.2500 0.5000 (multiplicity 4)  4 Tc 2.64-2.69, 4 Mg 2.64-2.69, 2 P 2.74

Values from the calculation:
As for the total energy: -45.71 eV/cell.

Compound: MgWAu
Source: Alexandria
Functional: GGA-PBE
Structure: optimized geometry

abc: 6.2839 6.2839 6.2839
angles: 90.00 90.00 90.00
Last column: nearest neighbours and their distance in Å.
Space group F-43m (No. 216)
Asymmetric unit:
Mg 0.0000 0.0000 0.0000 (multiplicity 4)  4 W 2.72
W 0.2500 0.2500 0.2500 (multiplicity 4)  4 Mg 2.72, 4 Au 2.72
Au 0.0000 0.0000 0.5000 (multiplicity 4)  4 W 2.72

Values from the calculation:
The energy above the most stable polymorph in this dataset comes out at 937 meV per atom.

Compound: Y2MgPaN4
Source: Alexandria
Functional: GGA-PBE
Structure: optimized geometry

abc: 5.7971 3.4810 5.9401
angles: 90.00 108.24 90.00
Last column: nearest neighbours and their distance in Å.
Space group P2/m (No. 10)
Asymmetric unit:
Y 0.0000 0.0000 0.0000 (multiplicity 1)  6 N 2.48-2.49
Y 0.5000 0.5000 0.0000 (multiplicity 1)  6 N 2.40-2.45
Mg 0.0000 0.5000 0.5000 (multiplicity 1)  6 N 2.35-2.45
Pa 0.5000 0.0000 0.5000 (multiplicity 1)  6 N 2.26-2.41
N 0.2547 0.5000 0.2600 (multiplicity 2)  1 Mg 2.35, 3 Y 2.40-2.48, 2 Pa 2.41
N 0.2623 0.0000 0.7385 (multiplicity 2)  1 Pa 2.26, 2 Mg 2.45, 3 Y 2.45-2.49

Values from the calculation:
The calculation puts the uncorrected formation energy at -1.46 eV/atom.

Compound: RbGaPtSe2
Source: Alexandria
Functional: GGA-PBE
Structure: optimized geometry

abc: 5.0802 5.0802 5.7871
angles: 90.00 90.00 90.00
Last column: nearest neighbours and their distance in Å.
Space group P4/mmm (No. 123)
Asymmetric unit:
Rb 0.0000 0.0000 0.0000 (multiplicity 1)  2 Pt 2.89
Ga 0.5000 0.5000 0.0000 (multiplicity 1)  4 Rb 3.59, 8 Se 3.85
Pt 0.0000 0.0000 0.5000 (multiplicity 1)  4 Se 2.54
Se 0.0000 0.5000 0.5000 (multiplicity 2)  2 Pt 2.54

Values from the calculation:
The calculation puts the uncorrected formation energy at 0.07 eV/atom.

Compound: BeNb3B3
Source: Alexandria
Functional: GGA-PBE
Structure: optimized geometry

abc: 3.2022 3.3205 14.4422
angles: 90.00 90.00 90.00
Last column: nearest neighbours and their distance in Å.
Space group Imm2 (No. 44)
Asymmetric unit:
Be 0.0000 0.0000 0.0000 (multiplicity 2)  3 B 1.90-1.92
Nb 0.0000 0.0000 0.5665 (multiplicity 2)  8 B 2.49-2.61, 4 Be 2.50
Nb 0.0000 0.5000 0.2495 (multiplicity 2)  7 B 2.38-2.56
Nb 0.0000 0.5000 0.8767 (multiplicity 2)  5 B 2.42-2.59, 2 Be 2.43
B 0.0000 0.0000 0.1318 (multiplicity 2)  2 B 1.86, 1 Be 1.90
B 0.0000 0.5000 0.4271 (multiplicity 2)  2 Be 1.92
B 0.0000 0.5000 0.6974 (multiplicity 2)  2 B 1.86

Values from the calculation:
As for the total energy: -118.03 eV/cell.

Compound: Cs7CdAu2
Source: Alexandria
Functional: GGA-PBE
Structure: optimized geometry

abc: 6.4324 6.4324 54.9894
angles: 90.00 90.00 120.00
Last column: nearest neighbours and their distance in Å.
Space group R-3m (No. 166, hexagonal axes)
Asymmetric unit:
Cs 0.0000 0.0000 0.0000 (multiplicity 3)  2 Au 3.83
Cs 0.0000 0.0000 0.1391 (multiplicity 6)  1 Au 3.82, 3 Cd 4.01
Cs 0.0000 0.0000 0.2820 (multiplicity 6)  3 Au 3.85
Cs 0.0000 0.0000 0.4251 (multiplicity 6)  3 Au 3.91, 1 Cd 4.12, 3 Cs 4.33
Cd 0.0000 0.0000 0.5000 (multiplicity 3)  8 Cs 4.01-4.12
Au 0.0000 0.0000 0.0696 (multiplicity 6)  8 Cs 3.82-3.91

Values from the calculation:
As for the total energy: -43.85 eV/cell.

Compound: Tb3CdAg
Source: Alexandria
Functional: GGA-PBE
Structure: optimized geometry

abc: 5.2202 19.7669 5.2172
angles: 90.00 90.00 90.00
Last column: nearest neighbours and their distance in Å.
Space group Cmcm (No. 63)
Asymmetric unit:
Tb 0.0000 0.0610 0.2500 (multiplicity 4)  2 Cd 3.20, 2 Ag 3.25, 2 Tb 3.55
Tb 0.0000 0.2492 0.2500 (multiplicity 4)  4 Ag 3.16-3.18, 4 Cd 3.21-3.23
Tb 0.0000 0.4363 0.2500 (multiplicity 4)  2 Cd 3.17, 2 Ag 3.22
Cd 0.0000 0.1545 0.7500 (multiplicity 4)  8 Tb 3.17-3.23
Ag 0.0000 0.3411 0.7500 (multiplicity 4)  8 Tb 3.16-3.25

Values from the calculation:
The energy above the most stable polymorph in this dataset comes out at 0 meV per atom.

Compound: MgIn2GaNi
Source: Alexandria
Functional: GGA-PBE
Structure: optimized geometry

abc: 5.0184 5.0184 4.5825
angles: 90.00 90.00 90.00
Last column: nearest neighbours and their distance in Å.
Space group P4/mmm (No. 123)
Asymmetric unit:
Mg 0.0000 0.0000 0.0000 (multiplicity 1)  8 In 3.40, 4 Ga 3.55
In 0.0000 0.5000 0.5000 (multiplicity 2)  2 Ni 2.51
Ga 0.5000 0.5000 0.0000 (multiplicity 1)  2 Ni 2.29
Ni 0.5000 0.5000 0.5000 (multiplicity 1)  2 Ga 2.29, 4 In 2.51

Values from the calculation:
As for the total energy: -15.89 eV/cell.